Below is a geometry-optimized BaTl2Sb structure, with properties calculated at the PBE-GGA level.

a b c (Å): 5.5737 5.1667 5.1669
angles (deg): 84.11 90.00 90.00
Closest atoms and distances in Å follow each position.
Fractional positions:
Tl (0.0000, 0.9624, 0.9621)  2 Sb 3.23, 3 Tl 3.26-3.51, 2 Ba 3.56
Sb (0.5000, 0.7500, 0.7500)  4 Tl 3.23, 2 Ba 3.46
Ba (0.5000, 0.2500, 0.2500)  4 Sb 3.46-3.84, 4 Tl 3.56
Tl (0.0000, 0.5376, 0.5379)  2 Sb 3.23, 3 Tl 3.26-3.51, 2 Ba 3.56

Summary:
The density of states at the Fermi level is 1.71 states/eV/cell. The energy relative to the elements, uncorrected is -410 meV per atom. The total energy is -3.1049 eV per atom.

---

Below is a geometry-optimized CeHo2Sc3As6 structure, with properties calculated at the PBE-GGA level.

a b c (Å): 6.9540 6.9540 6.9264
angles (deg): 99.64 99.64 119.98
Closest atoms and distances in Å follow each position.
Fractional positions:
Sc (0.1662, 0.8338, 0.5000)  6 As 2.77-2.78
Sc (0.5000, 0.5000, 0.5000)  6 As 2.77-2.78
Ce (0.0000, 0.0000, 0.0000)  6 As 2.90
As (0.7531, 0.7531, 0.2640)  3 Sc 2.77-2.78, 2 Ho 2.88, 1 Ce 2.90
Sc (0.8338, 0.1662, 0.5000)  6 As 2.77-2.78
As (0.5766, 0.9115, 0.7344)  3 Sc 2.77-2.78, 2 Ho 2.89, 1 Ce 2.90
As (0.9115, 0.5766, 0.7344)  3 Sc 2.77-2.78, 2 Ho 2.89, 1 Ce 2.90
As (0.4234, 0.0885, 0.2656)  3 Sc 2.77-2.78, 2 Ho 2.89, 1 Ce 2.90
Ho (0.3333, 0.6667, 0.0000)  6 As 2.88-2.89
As (0.0885, 0.4234, 0.2656)  3 Sc 2.77-2.78, 2 Ho 2.89, 1 Ce 2.90
Ho (0.6667, 0.3333, 0.0000)  6 As 2.88-2.89
As (0.2469, 0.2469, 0.7360)  3 Sc 2.77-2.78, 2 Ho 2.88, 1 Ce 2.90

Summary:
The density of states at the Fermi level is 5.72 states/eV/cell. The total energy is -6.5916 eV per atom. The formation energy comes out at -1.427 eV/atom.

---

Below is a geometry-optimized ThSeF structure, with properties calculated at the PBE-GGA level.

a b c (Å): 3.9649 4.2131 4.2131
angles (deg): 120.00 90.00 90.00
Closest atoms and distances in Å follow each position.
Fractional positions:
Se (0.6667, 0.3333, 0.6667)  6 F 3.14, 6 Th 3.14
F (0.1664, 0.0000, 0.0000)  3 Th 2.43
Th (0.1669, 0.6667, 0.3333)  3 F 2.43

Summary:
The density of states at the Fermi level is 0.96 states/eV/cell. The energy relative to the elements, uncorrected is -2605 meV per atom. The total energy is -6.8633 eV per atom.

---

Below is a geometry-optimized CdCu2Tc structure, with properties calculated at the PBE-GGA level.

a b c (Å): 9.1679 9.1679 9.1679
angles (deg): 17.32 17.32 17.32
Closest atoms and distances in Å follow each position.
Fractional positions:
Tc (0.2500, 0.2500, 0.2500)  6 Cu 2.66, 6 Tc 2.76
Cu (0.9953, 0.9953, 0.9953)  3 Tc 2.66, 6 Cu 2.76, 3 Cd 2.87
Cu (0.5047, 0.5047, 0.5047)  3 Tc 2.66, 6 Cu 2.76, 3 Cd 2.87
Cd (0.7500, 0.7500, 0.7500)  6 Cd 2.76, 6 Cu 2.87

Summary:
The density of states at the Fermi level is 3.75 states/eV/cell. The total energy is -4.5982 eV per atom. The formation energy comes out at 0.270 eV/atom.